Computed, not measured: a relaxed structure of CaZr2UN4 at the GGA-PBE level of DFT.

Summary:
Electronic total energy (eV/atom): -9.456
Formation energy from raw total energies (eV per atom): -1.495
DOS at the Fermi energy (states/eV per atom): 0.71

Unit cell a=4.731 b=4.731 c=5.782 alpha=114.15 beta=114.15 gamma=90.00
Each line ends with the local moment (μB).
Fractional positions:
U1 0.750 0.250 0.500  0.26
Zr1 0.250 0.750 0.500  0.03
Ca1 0.500 0.500 0.000  0.00
N1 0.509 0.009 0.018  -0.01
N2 0.243 0.243 0.485  -0.01
N3 0.991 0.491 0.982  -0.01
Zr2 0.000 0.000 0.000  0.01
N4 0.757 0.757 0.515  -0.01